Run one
The following is a DFT calculation (PBE) of crystalline RbLiBiAu at its relaxed geometry. Values from VASP.

The structure in Quantum ESPRESSO input format:
```
&SYSTEM
  ibrav = 0, nat = 4, ntyp = 4
/
ATOMIC_SPECIES
Rb 85.47 Rb.upf
Li 6.94 Li.upf
Bi 208.98 Bi.upf
Au 196.97 Au.upf
CELL_PARAMETERS angstrom
0.0000 3.7636 3.7636
3.7636 0.0000 3.7636
3.7636 3.7636 0.0000
ATOMIC_POSITIONS angstrom
Rb 0.0000 0.0000 0.0000
Li 1.8818 1.8818 1.8818
Bi 3.7636 3.7636 3.7636
Au 5.6455 5.6455 5.6455
```

=====

Run two
The following is a DFT calculation (PBE) of crystalline RbLiBiAu at its relaxed geometry. Values from VASP.

The structure in Quantum ESPRESSO input format:
```
&SYSTEM
  ibrav = 0, nat = 4, ntyp = 4
/
ATOMIC_SPECIES
Rb 85.47 Rb.upf
Li 6.94 Li.upf
Bi 208.98 Bi.upf
Au 196.97 Au.upf
CELL_PARAMETERS angstrom
0.0000 3.8717 3.8717
3.8717 0.0000 3.8717
3.8717 3.8717 0.0000
ATOMIC_POSITIONS angstrom
Rb 0.0000 0.0000 0.0000
Li 3.8717 3.8717 3.8717
Bi 1.9358 1.9358 1.9358
Au 5.8075 5.8075 5.8075
```

=====

Verdict on stability: run two comes out at the bottom.

=====

Run one
The following is a DFT calculation (PBE) of crystalline LiYBiAu at its relaxed geometry. Values from VASP.

The structure in Quantum ESPRESSO input format:
```
&SYSTEM
  ibrav = 0, nat = 4, ntyp = 4
/
ATOMIC_SPECIES
Li 6.94 Li.upf
Y 88.91 Y.upf
Bi 208.98 Bi.upf
Au 196.97 Au.upf
CELL_PARAMETERS angstrom
0.0000 3.5806 3.5806
3.5806 0.0000 3.5806
3.5806 3.5806 0.0000
ATOMIC_POSITIONS angstrom
Li 0.0000 0.0000 0.0000
Y 5.3709 5.3709 5.3709
Bi 1.7903 1.7903 1.7903
Au 3.5806 3.5806 3.5806
```

=====

Run two
The following is a DFT calculation (PBE) of crystalline LiYBiAu at its relaxed geometry. Values from VASP.

The structure in Quantum ESPRESSO input format:
```
&SYSTEM
  ibrav = 0, nat = 4, ntyp = 4
/
ATOMIC_SPECIES
Li 6.94 Li.upf
Y 88.91 Y.upf
Bi 208.98 Bi.upf
Au 196.97 Au.upf
CELL_PARAMETERS angstrom
0.0000 3.5956 3.5956
3.5956 0.0000 3.5956
3.5956 3.5956 0.0000
ATOMIC_POSITIONS angstrom
Li 0.0000 0.0000 0.0000
Y 1.7978 1.7978 1.7978
Bi 3.5956 3.5956 3.5956
Au 5.3933 5.3933 5.3933
```

=====

Run three
The following is a DFT calculation (PBE) of crystalline LiYBiAu at its relaxed geometry. Values from VASP.

The structure in Quantum ESPRESSO input format:
```
&SYSTEM
  ibrav = 0, nat = 4, ntyp = 4
/
ATOMIC_SPECIES
Li 6.94 Li.upf
Y 88.91 Y.upf
Bi 208.98 Bi.upf
Au 196.97 Au.upf
CELL_PARAMETERS angstrom
0.0000 3.6078 3.6078
3.6078 0.0000 3.6078
3.6078 3.6078 0.0000
ATOMIC_POSITIONS angstrom
Li 0.0000 0.0000 0.0000
Y 3.6078 3.6078 3.6078
Bi 1.8039 1.8039 1.8039
Au 5.4116 5.4116 5.4116
```

=====

Verdict on stability: run two comes out at the bottom.

=====

Run one
The following is a DFT calculation (PBE) of crystalline BiTeMoAu at its relaxed geometry. Values from VASP.

The structure in Quantum ESPRESSO input format:
```
&SYSTEM
  ibrav = 0, nat = 4, ntyp = 4
/
ATOMIC_SPECIES
Bi 208.98 Bi.upf
Te 127.60 Te.upf
Mo 95.94 Mo.upf
Au 196.97 Au.upf
CELL_PARAMETERS angstrom
0.0000 3.5592 3.5592
3.5592 0.0000 3.5592
3.5592 3.5592 0.0000
ATOMIC_POSITIONS angstrom
Bi 0.0000 0.0000 0.0000
Te 3.5592 3.5592 3.5592
Mo 5.3388 5.3388 5.3388
Au 1.7796 1.7796 1.7796
```

=====

Run two
The following is a DFT calculation (PBE) of crystalline BiTeMoAu at its relaxed geometry. Values from VASP.

The structure in Quantum ESPRESSO input format:
```
&SYSTEM
  ibrav = 0, nat = 4, ntyp = 4
/
ATOMIC_SPECIES
Bi 208.98 Bi.upf
Te 127.60 Te.upf
Mo 95.94 Mo.upf
Au 196.97 Au.upf
CELL_PARAMETERS angstrom
0.0000 3.5805 3.5805
3.5805 0.0000 3.5805
3.5805 3.5805 0.0000
ATOMIC_POSITIONS angstrom
Bi 0.0000 0.0000 0.0000
Te 1.7902 1.7902 1.7902
Mo 3.5805 3.5805 3.5805
Au 5.3707 5.3707 5.3707
```

=====

Verdict on stability: run two comes out at the bottom.

=====

Run one
The following is a DFT calculation (PBE) of crystalline RbNaBiAu at its relaxed geometry. Values from VASP.

The structure in Quantum ESPRESSO input format:
```
&SYSTEM
  ibrav = 0, nat = 8, ntyp = 4
/
ATOMIC_SPECIES
Rb 85.47 Rb.upf
Na 22.99 Na.upf
Bi 208.98 Bi.upf
Au 196.97 Au.upf
CELL_PARAMETERS angstrom
6.6936 0.0000 0.0000
0.0000 5.3316 3.8875
0.0000 -5.3316 3.8875
ATOMIC_POSITIONS angstrom
Rb 0.0000 -3.4977 3.8875
Rb 0.0000 3.4977 3.8875
Na 3.3468 -1.7683 2.9666
Na 3.3468 1.7683 2.9666
Bi 0.0000 0.0000 3.1153
Bi 3.3468 0.0000 7.5502
Au 1.8104 0.0000 5.2024
Au 4.8831 0.0000 5.2024
```

=====

Run two
The following is a DFT calculation (PBE) of crystalline RbNaBiAu at its relaxed geometry. Values from VASP.

The structure in Quantum ESPRESSO input format:
```
&SYSTEM
  ibrav = 0, nat = 8, ntyp = 4
/
ATOMIC_SPECIES
Rb 85.47 Rb.upf
Na 22.99 Na.upf
Bi 208.98 Bi.upf
Au 196.97 Au.upf
CELL_PARAMETERS angstrom
6.7259 0.0000 0.0000
0.0000 3.8218 5.3381
0.0000 -3.8218 5.3381
ATOMIC_POSITIONS angstrom
Rb 1.6815 -2.2894 5.3381
Rb 5.0444 2.2894 5.3381
Na 1.6815 1.4511 3.6001
Na 5.0444 -1.4511 3.6001
Bi 1.6815 2.1752 7.1355
Bi 5.0444 -2.1752 7.1355
Au 0.0000 0.0000 7.5285
Au 3.3630 0.0000 7.5285
```

=====

Run three
The following is a DFT calculation (PBE) of crystalline RbNaBiAu at its relaxed geometry. Values from VASP.

The structure in Quantum ESPRESSO input format:
```
&SYSTEM
  ibrav = 0, nat = 4, ntyp = 4
/
ATOMIC_SPECIES
Rb 85.47 Rb.upf
Na 22.99 Na.upf
Bi 208.98 Bi.upf
Au 196.97 Au.upf
CELL_PARAMETERS angstrom
0.0000 3.9688 3.9688
3.9688 0.0000 3.9688
3.9688 3.9688 0.0000
ATOMIC_POSITIONS angstrom
Rb 0.0000 0.0000 0.0000
Na 3.9688 3.9688 3.9688
Bi 1.9844 1.9844 1.9844
Au 5.9532 5.9532 5.9532
```

=====

Verdict on stability: run three comes out at the bottom.

=====

Run one
The following is a DFT calculation (PBE) of crystalline RbNaBiAu at its relaxed geometry. Values from VASP.

The structure in Quantum ESPRESSO input format:
```
&SYSTEM
  ibrav = 0, nat = 4, ntyp = 4
/
ATOMIC_SPECIES
Rb 85.47 Rb.upf
Na 22.99 Na.upf
Bi 208.98 Bi.upf
Au 196.97 Au.upf
CELL_PARAMETERS angstrom
0.0000 3.8494 3.8494
3.8494 0.0000 3.8494
3.8494 3.8494 0.0000
ATOMIC_POSITIONS angstrom
Rb 0.0000 0.0000 0.0000
Na 1.9247 1.9247 1.9247
Bi 3.8494 3.8494 3.8494
Au 5.7741 5.7741 5.7741
```

=====

Run two
The following is a DFT calculation (PBE) of crystalline RbNaBiAu at its relaxed geometry. Values from VASP.

The structure in Quantum ESPRESSO input format:
```
&SYSTEM
  ibrav = 0, nat = 8, ntyp = 4
/
ATOMIC_SPECIES
Rb 85.47 Rb.upf
Na 22.99 Na.upf
Bi 208.98 Bi.upf
Au 196.97 Au.upf
CELL_PARAMETERS angstrom
6.1580 0.0000 0.0000
0.0000 6.2255 0.0000
-2.0443 0.0000 6.8963
ATOMIC_POSITIONS angstrom
Rb -0.0361 1.5564 1.0755
Rb 4.1498 4.6691 5.8207
Na 1.0232 4.6691 3.6223
Na 3.0904 1.5564 3.2739
Bi 0.1321 1.5564 4.7470
Bi 3.9815 4.6691 2.1492
Au 3.0790 0.0000 0.0000
Au 3.0790 3.1128 0.0000
```

=====

Verdict on stability: run one comes out at the bottom.

=====

Run one
The following is a DFT calculation (PBE) of crystalline ZnNiBiAu at its relaxed geometry. Values from VASP.

The structure in Quantum ESPRESSO input format:
```
&SYSTEM
  ibrav = 0, nat = 4, ntyp = 4
/
ATOMIC_SPECIES
Zn 65.41 Zn.upf
Ni 58.69 Ni.upf
Bi 208.98 Bi.upf
Au 196.97 Au.upf
CELL_PARAMETERS angstrom
0.0000 3.3104 3.3104
3.3104 0.0000 3.3104
3.3104 3.3104 0.0000
ATOMIC_POSITIONS angstrom
Zn 0.0000 0.0000 0.0000
Ni 3.3104 3.3104 3.3104
Bi 4.9656 4.9656 4.9656
Au 1.6552 1.6552 1.6552
```

=====

Run two
The following is a DFT calculation (PBE) of crystalline ZnNiBiAu at its relaxed geometry. Values from VASP.

The structure in Quantum ESPRESSO input format:
```
&SYSTEM
  ibrav = 0, nat = 4, ntyp = 4
/
ATOMIC_SPECIES
Zn 65.41 Zn.upf
Ni 58.69 Ni.upf
Bi 208.98 Bi.upf
Au 196.97 Au.upf
CELL_PARAMETERS angstrom
0.0000 3.3359 3.3359
3.3359 0.0000 3.3359
3.3359 3.3359 0.0000
ATOMIC_POSITIONS angstrom
Zn 0.0000 0.0000 0.0000
Ni 5.0038 5.0038 5.0038
Bi 3.3359 3.3359 3.3359
Au 1.6679 1.6679 1.6679
```

=====

Verdict on stability: run two comes out at the bottom.